Crystalline NbTcNO at its relaxed geometry, computed with GGA-PBE.

Calculated values
- SG: Pmc2_1 (26)
- Distance to the lowest polymorph of the same formula: 167 meV per atom

Lattice parameters (Å, degrees): 2.9787 4.9596 6.5515 90.00 90.00 90.00
Positions (direct):
N1 0.0000 0.6590 0.1499
N2 0.0000 0.3410 0.6499
Nb1 0.0000 0.6837 0.4599
Nb2 0.0000 0.3164 0.9599
O1 0.5000 0.1759 0.1602
O2 0.5000 0.8241 0.6602
Tc1 0.5000 0.1920 0.4760
Tc2 0.5000 0.8080 0.9760

Crystalline PrFeP2Pd at its relaxed geometry, computed with GGA-PBE.

Calculated values
- Uncorrected energy: -6.6618 eV per atom
- SG: I-4m2 (119)

Lattice parameters (Å, degrees): 5.7324 5.7324 5.7324 138.39 138.39 60.31
Positions (direct):
Fe1 0.0000 0.0000 0.0000
P1 0.6267 0.1267 0.5000
P2 0.8733 0.3733 0.5000
Pd1 0.5000 0.5000 0.0000
Pr1 0.2500 0.7500 0.5000

Crystalline CoCuMo4N2 at its relaxed geometry, computed with GGA-PBE.

Calculated values
- Uncorrected energy: -8.7734 eV per atom
- SG: P-6m2 (187)

Lattice parameters (Å, degrees): 2.8105 2.8105 14.3557 90.00 90.00 120.00
Positions (direct):
Co1 0.0000 0.0000 0.0000
Cu1 0.6667 0.3333 0.5000
Mo1 0.6667 0.3333 0.1473
Mo2 0.0000 0.0000 0.3442
Mo3 0.0000 0.0000 0.6558
Mo4 0.6667 0.3333 0.8527
N1 0.3333 0.6667 0.2465
N2 0.3333 0.6667 0.7535

Crystalline GdYH2Br4 at its relaxed geometry, computed with GGA-PBE.

Calculated values
- Uncorrected energy: -4.5921 eV per atom
- SG: P-6m2 (187)

Lattice parameters (Å, degrees): 3.8562 3.8562 14.8199 90.00 90.00 120.00
Positions (direct):
Br1 0.3333 0.6667 0.1291
Br2 0.6667 0.3333 0.3701
Br3 0.6667 0.3333 0.6299
Br4 0.3333 0.6667 0.8709
Gd1 0.0000 0.0000 0.5000
H1 0.6667 0.3333 0.0000
H2 0.3333 0.6667 0.5000
Y1 0.0000 0.0000 0.0000

Crystalline LiGaRe at its relaxed geometry, computed with GGA-PBE.

Calculated values
- SG: F-43m (216)
- Distance to the lowest polymorph of the same formula: 0 meV per atom

Lattice parameters (Å, degrees): 4.1221 4.1221 4.1221 60.00 60.00 60.00
Positions (direct):
Ga1 0.0000 0.0000 0.0000
Li1 0.2500 0.2500 0.2500
Re1 0.7500 0.7500 0.7500

Crystalline Pm2Se at its relaxed geometry, computed with GGA-PBE.

Calculated values
- SG: Fd-3m (227)
- Distance to the lowest polymorph of the same formula: 0 meV per atom

Lattice parameters (Å, degrees): 6.2409 6.2409 6.2409 60.00 60.00 60.00
Positions (direct):
Pm1 0.6250 0.6250 0.1250
Pm2 0.6250 0.1250 0.6250
Pm3 0.1250 0.6250 0.6250
Pm4 0.6250 0.6250 0.6250
Se1 0.0000 0.0000 0.0000
Se2 0.2500 0.2500 0.2500

Crystalline LiCdB at its relaxed geometry, computed with GGA-PBE.

Calculated values
- SG: F-43m (216)
- Distance to the lowest polymorph of the same formula: 0 meV per atom

Lattice parameters (Å, degrees): 3.9582 3.9582 3.9582 60.00 60.00 60.00
Positions (direct):
B1 0.0000 0.0000 0.0000
Cd1 0.2500 0.2500 0.2500
Li1 0.7500 0.7500 0.7500

Crystalline La2GaPt at its relaxed geometry, computed with GGA-PBE.

Calculated values
- Uncorrected energy: -5.5834 eV per atom
- SG: Amm2 (38)

Lattice parameters (Å, degrees): 4.4572 6.0895 6.0895 40.02 90.00 90.00
Positions (direct):
Ga1 0.5000 0.5716 0.5716
La1 0.0000 0.1418 0.1418
La2 0.5000 0.8644 0.8644
Pt1 0.0000 0.4223 0.4223

Crystalline Rb2NiTeCl6 at its relaxed geometry, computed with GGA-PBE.

Calculated values
- Uncorrected energy: -3.2031 eV per atom
- SG: Fm-3m (225)

Lattice parameters (Å, degrees): 7.2188 7.2188 7.2188 60.00 60.00 60.00
Positions (direct):
Cl1 0.7325 0.2675 0.2675
Cl2 0.2675 0.7325 0.2675
Cl3 0.7325 0.7325 0.2675
Cl4 0.2675 0.2675 0.7325
Cl5 0.7325 0.2675 0.7325
Cl6 0.2675 0.7325 0.7325
Ni1 0.5000 0.5000 0.5000
Rb1 0.2500 0.2500 0.2500
Rb2 0.7500 0.7500 0.7500
Te1 0.0000 0.0000 0.0000

Crystalline NaLiBiAu at its relaxed geometry, computed with GGA-PBE.

Calculated values
- SG: F-43m (216)
- Distance to the lowest polymorph of the same formula: 0 meV per atom

Lattice parameters (Å, degrees): 4.9482 4.9482 4.9482 60.00 60.00 60.00
Positions (direct):
Au1 0.7500 0.7500 0.7500
Bi1 0.0000 0.0000 0.0000
Li1 0.2500 0.2500 0.2500
Na1 0.5000 0.5000 0.5000

Crystalline CsZrNiTe3 at its relaxed geometry, computed with GGA-PBE.

Calculated values
- Uncorrected energy: -4.8648 eV per atom
- SG: P2_1/m (11)

Lattice parameters (Å, degrees): 10.1376 4.0492 10.8389 90.00 117.83 90.00
Positions (direct):
Cs1 0.4852 0.7500 0.2345
Cs2 0.5148 0.2500 0.7655
Ni1 0.0192 0.2500 0.1121
Ni2 0.9808 0.7500 0.8879
Te1 0.8448 0.7500 0.0373
Te2 0.2493 0.2500 0.3544
Te3 0.8351 0.2500 0.3550
Te4 0.1649 0.7500 0.6450
Te5 0.7507 0.7500 0.6456
Te6 0.1552 0.2500 0.9627
Zr1 0.0368 0.7500 0.3326
Zr2 0.9632 0.2500 0.6674

Crystalline LaPrB2Ir2O2 at its relaxed geometry, computed with GGA-PBE.

Calculated values
- Uncorrected energy: -7.9793 eV per atom
- SG: P4mm (99)

Lattice parameters (Å, degrees): 3.8715 3.8715 7.5639 90.00 90.00 90.00
Positions (direct):
B1 0.0000 0.0000 0.3568
B2 0.5000 0.5000 0.6431
Ir1 0.5000 0.0000 0.4991
Ir2 0.0000 0.5000 0.4991
La1 0.0000 0.0000 0.8212
O1 0.0000 0.0000 0.1562
O2 0.5000 0.5000 0.8443
Pr1 0.5000 0.5000 0.1802